Entry from the Alexandria database: a relaxed InTe2As crystal (PBE).

Calculated values
SG: Cmmm, No. 65
Formation energy without anion corrections: 0.195 eV/atom
Calculated volume: 33.4 Å³ per atom
Offset from the most stable computed form: 0.292 eV/atom

a b c (Å): 4.470 4.470 8.115
angles (deg): 90.00 90.00 124.48
Element x y z (fractional)
In (0.000, 0.000, 0.000)
Te (0.500, 0.500, 0.265)
Te (0.500, 0.500, 0.735)
As (0.000, 0.000, 0.500)

Entry from the Alexandria database: a relaxed ZrAs2Os crystal (PBE).

Calculated values
Formation energy: -0.2648 eV/atom
SG: P4/mmm, No. 123
Calculated volume: 16.6 Å³ per atom
Offset from the most stable computed form: 0.122 eV/atom

a b c (Å): 4.556 4.556 3.203
angles (deg): 90.00 90.00 90.00
Element x y z (fractional)
Zr (0.000, 0.000, 0.000)
As (0.000, 0.500, 0.500)
As (0.500, 0.000, 0.500)
Os (0.500, 0.500, 0.000)

Entry from the Alexandria database: a relaxed Th2Ga3Rh5 crystal (PBE).

Calculated values
Formation energy: -0.7709 eV/atom
SG: Ibam, No. 72
Calculated volume: 18.5 Å³ per atom
Offset from the most stable computed form: 0.000 eV/atom

a b c (Å): 8.421 8.421 8.421
angles (deg): 99.44 94.94 138.58
Element x y z (fractional)
Th (0.129, 0.227, 0.355)
Th (0.371, 0.727, 0.098)
Th (0.629, 0.273, 0.902)
Th (0.871, 0.773, 0.645)
Ga (0.139, 0.893, 0.032)
Ga (0.250, 0.750, 0.500)
Ga (0.361, 0.393, 0.754)
Ga (0.639, 0.607, 0.246)
Ga (0.750, 0.250, 0.500)
Ga (0.861, 0.107, 0.968)
Rh (0.027, 0.750, 0.277)
Rh (0.102, 0.672, 0.774)
Rh (0.250, 0.250, 0.000)
Rh (0.398, 0.172, 0.569)
Rh (0.473, 0.750, 0.723)
Rh (0.527, 0.250, 0.277)
Rh (0.602, 0.828, 0.431)
Rh (0.750, 0.750, 0.000)
Rh (0.898, 0.328, 0.226)
Rh (0.973, 0.250, 0.723)